No. 1
## FeHSe2N (GGA-PBE)

Data for a relaxed structure of FeHSe2N.

The structure belongs to space group P4/mmm (No. 123); the cell edges are 4.879, 4.879 and 3.360 Å and the angles 90.00°, 90.00° and 90.00°. The inequivalent atoms are Fe at (0.000, 0.000, 0.000), H at (0.500, 0.500, 0.500), Se at (0.000, 0.500, 0.000) and N at (0.000, 0.000, 0.500).

The value obtained for the density of states at the Fermi level is 3.32 states/eV per cell. The offset from the most stable computed form comes out at 0.0 meV per atom. The crystal system is tetragonal.



No. 2
## FeHSeN2 (GGA-PBE)

Data for a relaxed structure of FeHSeN2.

The structure belongs to space group P4/mmm (No. 123); the cell edges are 3.752, 3.752 and 3.230 Å and the angles 90.00°, 90.00° and 90.00°. The inequivalent atoms are Fe at (0.000, 0.000, 0.000), H at (0.500, 0.500, 0.500), Se at (0.500, 0.500, 0.000) and N at (0.000, 0.500, 0.500).

The value obtained for the density of states at the Fermi level is 5.67 states/eV per cell. The offset from the most stable computed form comes out at 951.0 meV per atom. The crystal system is tetragonal.



No. 3
## SrFe2HN (GGA-PBE)

Data for a relaxed structure of SrFe2HN.

The structure belongs to space group P4/mmm (No. 123); the cell edges are 3.583, 3.583 and 5.984 Å and the angles 90.00°, 90.00° and 90.00°. The inequivalent atoms are Sr at (0.000, 0.000, 0.000), Fe at (0.000, 0.500, 0.500), H at (0.500, 0.500, 0.000) and N at (0.500, 0.500, 0.500).

The value obtained for the density of states at the Fermi level is 3.54 states/eV per cell. The calculation puts the total energy at -6.10 eV per atom. The crystal system is tetragonal.



No. 4
## FeTeHN2 (GGA-PBE)

Data for a relaxed structure of FeTeHN2.

The structure belongs to space group P4/mmm (No. 123); the cell edges are 3.493, 3.493 and 5.489 Å and the angles 90.00°, 90.00° and 90.00°. The inequivalent atoms are Fe at (0.000, 0.000, 0.000), Te at (0.000, 0.000, 0.500), H at (0.500, 0.500, 0.500) and N at (0.000, 0.500, 0.000).

The value obtained for the density of states at the Fermi level is 3.75 states/eV per cell. The offset from the most stable computed form comes out at 0.0 meV per atom. The crystal system is tetragonal.



No. 5
## FeTeHN2 (GGA-PBE)

Data for a relaxed structure of FeTeHN2.

The structure belongs to space group P4/mmm (No. 123); the cell edges are 3.950, 3.950 and 3.531 Å and the angles 90.00°, 90.00° and 90.00°. The inequivalent atoms are Fe at (0.000, 0.000, 0.000), Te at (0.500, 0.500, 0.000), H at (0.500, 0.500, 0.500) and N at (0.000, 0.500, 0.500).

The value obtained for the density of states at the Fermi level is 3.44 states/eV per cell. The offset from the most stable computed form comes out at 994.5 meV per atom. The crystal system is tetragonal.



No. 6
## FeTe2HN (GGA-PBE)

Data for a relaxed structure of FeTe2HN.

The structure belongs to space group P4/mmm (No. 123); the cell edges are 4.937, 4.937 and 2.845 Å and the angles 90.00°, 90.00° and 90.00°. The inequivalent atoms are Fe at (0.000, 0.000, 0.000), Te at (0.000, 0.500, 0.500), H at (0.500, 0.500, 0.500) and N at (0.500, 0.500, 0.000).

The value obtained for the density of states at the Fermi level is 6.80 states/eV per cell. The offset from the most stable computed form comes out at 521.9 meV per atom. The crystal system is tetragonal.



No. 7
## FeTe2HN (GGA-PBE)

Data for a relaxed structure of FeTe2HN.

The structure belongs to space group P4/mmm (No. 123); the cell edges are 5.217, 5.217 and 3.346 Å and the angles 90.00°, 90.00° and 90.00°. The inequivalent atoms are Fe at (0.000, 0.000, 0.000), Te at (0.000, 0.500, 0.000), H at (0.500, 0.500, 0.500) and N at (0.000, 0.000, 0.500).

The value obtained for the density of states at the Fermi level is 2.58 states/eV per cell. The offset from the most stable computed form comes out at 0.0 meV per atom. The crystal system is tetragonal.



No. 8
## Na2FeH (GGA-PBE)

Data for a relaxed structure of Na2FeH.

The structure belongs to space group Fm-3m (No. 225); the cell edges are 6.938, 6.938 and 6.938 Å and the angles 90.00°, 90.00° and 90.00°. The inequivalent atoms are Na at (0.250, 0.250, 0.250), Fe at (0.000, 0.000, 0.000) and H at (0.000, 0.000, 0.500).

The value obtained for the density of states at the Fermi level is 11.04 states/eV per cell. The calculation puts the total energy at -2.62 eV per atom. The crystal system is cubic.